No. 1
Below is an optimized crystal structure of SrPrGd4, with properties calculated at the PBE level.

SG: F-43m, No. 216
Calculated total energy (eV per atom): -10.22

a = 6.8277 Å, b = 6.8277 Å, c = 6.8277 Å
α = 60.00°, β = 60.00°, γ = 60.00°
Closest atoms and distances in Å follow each position.
Sites, in units of the cell vectors:
Sr 0.0000 0.0000 0.0000  12 Gd 4.01, 4 Pr 4.18
Pr 0.2500 0.2500 0.2500  12 Gd 3.99, 4 Sr 4.18
Gd 0.1339 0.6220 0.6220  6 Gd 3.33-3.49
Gd 0.6220 0.1339 0.6220  6 Gd 3.33-3.49
Gd 0.6220 0.6220 0.1339  6 Gd 3.33-3.49
Gd 0.6220 0.6220 0.6220  6 Gd 3.33-3.49



No. 2
Below is an optimized crystal structure of SrPr2Gd, with properties calculated at the PBE level.

SG: P4/mmm, No. 123
Calculated total energy (eV per atom): -6.25

a = 3.7710 Å, b = 3.7710 Å, c = 10.7949 Å
α = 90.00°, β = 90.00°, γ = 90.00°
Closest atoms and distances in Å follow each position.
Sites, in units of the cell vectors:
Sr 0.0000 0.0000 0.0000  4 Sr 3.77, 8 Pr 4.00
Pr 0.5000 0.5000 0.2758  4 Gd 3.60, 4 Pr 3.77, 4 Sr 4.00
Pr 0.5000 0.5000 0.7242  4 Gd 3.60, 4 Pr 3.77, 4 Sr 4.00
Gd 0.0000 0.0000 0.5000  8 Pr 3.60, 4 Gd 3.77



No. 3
Below is an optimized crystal structure of SrPrGd2, with properties calculated at the PBE level.

SG: P4/mmm, No. 123
Calculated total energy (eV per atom): -8.49

a = 5.2871 Å, b = 5.2871 Å, c = 5.2872 Å
α = 90.00°, β = 90.00°, γ = 90.00°
Closest atoms and distances in Å follow each position.
Sites, in units of the cell vectors:
Sr 0.0000 0.0000 0.0000  4 Pr 3.74, 8 Gd 3.74
Pr 0.5000 0.5000 0.0000  4 Sr 3.74, 8 Gd 3.74
Gd 0.0000 0.5000 0.5000  4 Gd 3.74, 4 Pr 3.74, 4 Sr 3.74
Gd 0.5000 0.0000 0.5000  4 Gd 3.74, 4 Pr 3.74, 4 Sr 3.74